Er5RhPb4 PBE-GGA optimized geometry; total magnetization = 0.00 μB/f.u.; formation energy = -365 meV/atom; DOS at the Fermi energy = 0.61 states/eV/atom; energy = -4.865 eV/atom
1.0
-0.7252 2.0360 5.7941
0.0060 -5.3790 5.1911
6.3863 1.6324 3.5258
Pb Er Rh
4 5 1
Cartesian
2.3605 -0.2761 3.8217
4.4926 0.0305 7.2810
1.1462 -1.6614 7.4567
3.2783 -1.3549 10.9160
3.9024 -2.9721 8.2475
0.8737 -2.9557 4.5625
-0.3075 0.8635 2.4573
4.7683 1.3157 10.1493
1.7396 1.3321 6.4643
-0.6807 1.9111 5.4386